Entry from Alexandria: a relaxed structure of CsSb2Au (PBE-GGA).

Lattice parameters (Å, degrees): 5.522 5.522 5.522 60.00 60.00 60.00
Sites, in units of the cell vectors:
1 Sb 0.750 0.750 0.750
2 Sb 0.250 0.250 0.250
3 Au 0.500 0.500 0.500
4 Cs 0.000 0.000 0.000

Computed properties:
ΔE to the lowest computed polymorph ... 705 meV per atom
N(E_F) ... 2.5 states/eV per cell
Symmetry ... No. 225
Total magnetization ... 0.0 μB per formula unit